Compound: Tb3Nd2Y6Mg
Source: Alexandria via LeMat-Bulk
Functional: PBE
Structure: optimized geometry

Unit cell a=6.1706 b=6.1706 c=11.8185 alpha=95.02 beta=95.02 gamma=120.03
Sites, in units of the cell vectors:
Tb (0.0000, 0.0000, 0.0000)
Tb (0.3345, 0.6655, 0.0000)
Tb (0.6655, 0.3345, 0.0000)
Nd (0.1663, 0.8337, 0.5000)
Nd (0.8337, 0.1663, 0.5000)
Y (0.0858, 0.4169, 0.2496)
Y (0.2519, 0.2519, 0.7514)
Y (0.4169, 0.0858, 0.2496)
Y (0.5831, 0.9142, 0.7504)
Y (0.7481, 0.7481, 0.2486)
Y (0.9142, 0.5831, 0.7504)
Mg (0.5000, 0.5000, 0.5000)

Space-group type: C2/m, No. 12
Total DFT energy (no corrections) in eV per atom: -5.30
Formation energy in eV/atom: 0.02